[1]
VASP calculation (PBE-GGA) on a relaxed structure of AcTb5Nd2Sm.

Results
**DFT formation energy**: 0.25 eV/atom
**Theoretical density**: 7.81 g cm⁻³
**E**: -4.37 eV per atom
**Crystal system**: tetragonal

The structure in CIF format:
```
data_AcTb5Nd2Sm
_symmetry_space_group_name_H-M 'I 4/m c m'
_symmetry_Int_Tables_number 140
_symmetry_space_group_name_Hall '-I 4 2c'
_cell_length_a 8.869
_cell_length_b 8.869
_cell_length_c 15.796
_cell_angle_alpha 90.00
_cell_angle_beta 90.00
_cell_angle_gamma 90.00
loop_
_atom_site_label
_atom_site_type_symbol
_atom_site_fract_x
_atom_site_fract_y
_atom_site_fract_z
Ac1 Ac 0.000 0.000 0.250
Tb1 Tb 0.000 0.000 0.000
Tb2 Tb 0.206 0.294 0.133
Nd1 Nd 0.118 0.382 0.500
Sm1 Sm 0.000 0.500 0.250
```



[2]
VASP calculation (PBE-GGA) on a relaxed structure of AcTbNd4Sm2.

Results
**DFT formation energy**: 0.02 eV/atom
**Theoretical density**: 7.37 g cm⁻³
**E**: -4.63 eV per atom
**Crystal system**: monoclinic

The structure in CIF format:
```
data_AcTbNd4Sm2
_symmetry_space_group_name_H-M 'P 1 2/m 1'
_symmetry_Int_Tables_number 10
_cell_length_a 5.206
_cell_length_b 5.229
_cell_length_c 10.451
_cell_angle_alpha 90.00
_cell_angle_beta 90.04
_cell_angle_gamma 90.00
loop_
_symmetry_equiv_pos_as_xyz
'x,y,z'
'-x,-y,-z'
'-x,y,-z'
'x,-y,z'
loop_
_atom_site_label
_atom_site_type_symbol
_atom_site_fract_x
_atom_site_fract_y
_atom_site_fract_z
Ac1 Ac 0.000 0.000 0.000
Tb1 Tb 0.500 0.500 0.500
Nd1 Nd 0.000 0.500 0.257
Nd2 Nd 0.500 0.000 0.258
Sm1 Sm 0.000 0.000 0.500
Sm2 Sm 0.500 0.500 0.000
```



[3]
VASP calculation (PBE-GGA) on a relaxed structure of AcTb2NdSm4.

Results
**DFT formation energy**: 0.03 eV/atom
**Theoretical density**: 7.71 g cm⁻³
**E**: -4.60 eV per atom
**Crystal system**: monoclinic

The structure in CIF format:
```
data_AcTb2NdSm4
_symmetry_space_group_name_H-M 'P 1 2/m 1'
_symmetry_Int_Tables_number 10
_cell_length_a 5.170
_cell_length_b 5.191
_cell_length_c 10.360
_cell_angle_alpha 90.00
_cell_angle_beta 90.09
_cell_angle_gamma 90.00
loop_
_symmetry_equiv_pos_as_xyz
'x,y,z'
'-x,-y,-z'
'-x,y,-z'
'x,-y,z'
loop_
_atom_site_label
_atom_site_type_symbol
_atom_site_fract_x
_atom_site_fract_y
_atom_site_fract_z
Ac1 Ac 0.000 0.000 0.000
Tb1 Tb 0.000 0.000 0.500
Tb2 Tb 0.500 0.500 0.000
Nd1 Nd 0.500 0.500 0.500
Sm1 Sm 0.000 0.500 0.256
Sm2 Sm 0.500 0.000 0.256
```



[4]
VASP calculation (PBE-GGA) on a relaxed structure of AcTbNd2Sm5.

Results
**DFT formation energy**: 0.25 eV/atom
**Theoretical density**: 7.43 g cm⁻³
**E**: -4.40 eV per atom
**Crystal system**: tetragonal

The structure in CIF format:
```
data_AcTbNd2Sm5
_symmetry_space_group_name_H-M 'I 4/m c m'
_symmetry_Int_Tables_number 140
_symmetry_space_group_name_Hall '-I 4 2c'
_cell_length_a 8.964
_cell_length_b 8.964
_cell_length_c 15.869
_cell_angle_alpha 90.00
_cell_angle_beta 90.00
_cell_angle_gamma 90.00
loop_
_atom_site_label
_atom_site_type_symbol
_atom_site_fract_x
_atom_site_fract_y
_atom_site_fract_z
Ac1 Ac 0.000 0.000 0.250
Tb1 Tb 0.000 0.500 0.250
Nd1 Nd 0.117 0.383 0.000
Sm1 Sm 0.000 0.000 0.000
Sm2 Sm 0.205 0.295 0.367
```



[5]
VASP calculation (PBE-GGA) on a relaxed structure of AcTb2NdSm5.

Results
**DFT formation energy**: 0.26 eV/atom
**Theoretical density**: 7.55 g cm⁻³
**E**: -4.38 eV per atom
**Crystal system**: tetragonal

The structure in CIF format:
```
data_AcTb2NdSm5
_symmetry_space_group_name_H-M 'I 4/m c m'
_symmetry_Int_Tables_number 140
_symmetry_space_group_name_Hall '-I 4 2c'
_cell_length_a 8.934
_cell_length_b 8.934
_cell_length_c 15.887
_cell_angle_alpha 90.00
_cell_angle_beta 90.00
_cell_angle_gamma 90.00
loop_
_atom_site_label
_atom_site_type_symbol
_atom_site_fract_x
_atom_site_fract_y
_atom_site_fract_z
Ac1 Ac 0.000 0.000 0.250
Tb1 Tb 0.117 0.383 0.000
Nd1 Nd 0.000 0.500 0.250
Sm1 Sm 0.000 0.000 0.000
Sm2 Sm 0.197 0.303 0.372
```



[6]
VASP calculation (PBE-GGA) on a relaxed structure of AcTbNdSm.

Results
**DFT formation energy**: 0.16 eV/atom
**Polymorph energy (0 for the lowest one)**: 115 meV/atom
**Theoretical density**: 7.73 g cm⁻³
**E**: -4.39 eV per atom
**Crystal system**: cubic

The structure in CIF format:
```
data_AcTbNdSm
_symmetry_space_group_name_H-M 'F -4 3 m'
_symmetry_Int_Tables_number 216
_symmetry_space_group_name_Hall 'F -4 2 3'
_cell_length_a 8.364
_cell_length_b 8.364
_cell_length_c 8.364
_cell_angle_alpha 90.00
_cell_angle_beta 90.00
_cell_angle_gamma 90.00
loop_
_atom_site_label
_atom_site_type_symbol
_atom_site_fract_x
_atom_site_fract_y
_atom_site_fract_z
Ac1 Ac 0.000 0.000 0.000
Tb1 Tb 0.000 0.000 0.500
Nd1 Nd 0.250 0.250 0.750
Sm1 Sm 0.250 0.250 0.250
```



[7]
VASP calculation (PBE-GGA) on a relaxed structure of AcTb2Nd6Sm.

Results
**DFT formation energy**: 0.12 eV/atom
**Theoretical density**: 7.23 g cm⁻³
**E**: -4.55 eV per atom
**Crystal system**: monoclinic

The structure in CIF format:
```
data_AcTb2Nd6Sm
_symmetry_space_group_name_H-M 'C 1 2/c 1'
_symmetry_Int_Tables_number 15
_cell_length_a 9.403
_cell_length_b 15.558
_cell_length_c 9.863
_cell_angle_alpha 90.00
_cell_angle_beta 96.42
_cell_angle_gamma 90.00
loop_
_symmetry_equiv_pos_as_xyz
'x,y,z'
'-x,-y,-z'
'-x,y,-z+1/2'
'x,-y,z+1/2'
'x+1/2,y+1/2,z'
'-x+1/2,-y+1/2,-z'
'-x+1/2,y+1/2,-z+1/2'
'x+1/2,-y+1/2,z+1/2'
loop_
_atom_site_label
_atom_site_type_symbol
_atom_site_fract_x
_atom_site_fract_y
_atom_site_fract_z
Ac1 Ac 0.000 0.028 0.250
Tb1 Tb 0.246 0.446 0.453
Nd1 Nd 0.065 0.185 0.946
Nd2 Nd 0.100 0.393 0.119
Nd3 Nd 0.214 0.229 0.318
Sm1 Sm 0.000 0.410 0.750
```



[8]
VASP calculation (PBE-GGA) on a relaxed structure of AcTb4Nd2Sm.

Results
**DFT formation energy**: 0.41 eV/atom
**Theoretical density**: 7.64 g cm⁻³
**E**: -4.20 eV per atom
**Crystal system**: orthorhombic

The structure in CIF format:
```
data_AcTb4Nd2Sm
_symmetry_space_group_name_H-M 'I m m a'
_symmetry_Int_Tables_number 74
_symmetry_space_group_name_Hall '-I 2b 2'
_cell_length_a 6.968
_cell_length_b 12.016
_cell_length_c 13.506
_cell_angle_alpha 90.00
_cell_angle_beta 90.00
_cell_angle_gamma 90.00
loop_
_atom_site_label
_atom_site_type_symbol
_atom_site_fract_x
_atom_site_fract_y
_atom_site_fract_z
Ac1 Ac 0.000 0.000 0.000
Tb1 Tb 0.000 0.002 0.258
Tb2 Tb 0.237 0.250 0.498
Nd1 Nd 0.000 0.000 0.500
Nd2 Nd 0.250 0.250 0.750
Sm1 Sm 0.250 0.250 0.250
```



Total moment: 0.0 0.0 0.0 0.0 0.0 0.1 0.0 1.8 (Bohr magnetons per cell)